Below is an optimized crystal structure of Ba2YGeH, with properties calculated at the GGA-PBE level.

Unit cell a=6.773 b=3.837 c=6.773 alpha=90.00 beta=90.00 gamma=90.00
Site moments in Bohr magnetons follow the coordinates.
Element x y z (fractional)
Y 0.500 0.500 0.500  0.54
H 0.000 0.500 0.000  0.00
Ge 0.000 0.000 0.000  0.02
Ba 0.000 0.000 0.500  0.13
Ba 0.500 0.000 0.000  0.15

Results
Energy = -3.254 eV per atom
Space group = P4/mmm
Spin magnetization = 0.381 μB/atom

Below is an optimized crystal structure of BaZnGeH, with properties calculated at the GGA-PBE level.

Unit cell a=4.436 b=4.436 c=5.075 alpha=90.00 beta=90.00 gamma=120.00
Element x y z (fractional)
Ba 0.905 0.810 0.775
Zn 0.239 0.477 0.246
Ge 0.572 0.144 0.312
H 0.239 0.477 0.907

Results
Energy = -3.134 eV per atom
Space group = P3m1
Spin magnetization = 0.000 μB/atom

Below is an optimized crystal structure of BaZn2GeH2, with properties calculated at the GGA-PBE level.

Unit cell a=5.105 b=7.015 c=7.302 alpha=117.13 beta=90.00 gamma=90.00
Element x y z (fractional)
Ba 0.750 0.306 0.690
Ba 0.250 0.694 0.310
Zn 0.500 0.152 0.190
Zn 0.000 0.152 0.190
Zn 0.000 0.848 0.810
Zn 0.500 0.848 0.810
Ge 0.250 0.205 0.910
Ge 0.750 0.795 0.090
H 0.250 0.171 0.379
H 0.250 0.646 0.674
H 0.750 0.829 0.621
H 0.750 0.354 0.326

Results
Energy = -2.826 eV per atom
Space group = P2_1/m
Spin magnetization = 0.000 μB/atom